[1]
Y5Te3Os PBE optimized geometry; energy relative to the lowest polymorph listed for this composition = 186 meV/atom; V = 27.1 Å³/atom; VASP energy = -6.281 eV/atom
1.0
8.1588 0.0000 0.0000
-4.0794 7.0657 0.0000
0.0000 0.0000 4.2362
Y Te Os
5 3 1
direct
0.6667 0.3333 0.5000
0.0000 0.6633 0.0000
0.3333 0.6667 0.5000
0.3367 0.3367 0.0000
0.6633 0.0000 0.0000
0.7446 0.7446 0.5000
0.0000 0.2554 0.5000
0.2554 0.0000 0.5000
0.0000 0.0000 0.0000

[2]
GdYGe2Pt4 PBE optimized geometry; V = 18.5 Å³/atom; VASP energy = -6.596 eV/atom
1.0
-1.4520 -4.2091 -5.6570
-4.9544 -1.1802 2.1498
-5.1393 2.0281 -0.1899
Pt Ge Y Gd
4 2 1 1
direct
0.6990 0.8629 0.8629
0.1996 0.1372 0.1372
0.3010 0.8629 0.8629
0.8004 0.1372 0.1372
0.0000 0.7309 0.7309
0.5000 0.2690 0.2690
0.5000 0.5529 0.5529
0.0000 0.4469 0.4469

[3]
SnTePtO PBE optimized geometry; energy relative to the lowest polymorph listed for this composition = 385 meV/atom; V = 23.0 Å³/atom; VASP energy = -4.784 eV/atom
1.0
4.7276 0.0000 0.0000
0.0000 4.7276 0.0000
0.0000 0.0000 8.2204
Sn O Te Pt
2 2 2 2
direct
0.2500 0.2500 0.8437
0.7500 0.7500 0.1563
0.7500 0.7500 0.9202
0.2500 0.2500 0.0798
0.2500 0.7500 0.5000
0.7500 0.2500 0.5000
0.7500 0.7500 0.6544
0.2500 0.2500 0.3456